Here is a relaxed ZnRuBr2 crystal from the Alexandria database. Energies are from PBE.

The structure in extended XYZ format:
```
4
Lattice="-1.446 3.662 -2.678 -4.489 -0.750 1.399 0.448 2.023 2.524" Properties=species:S:1:pos:R:3 pbc="T T T"
Br 0.000 0.000 0.000
Br -2.968 1.456 -0.640
Ru -0.499 2.843 -0.077
Zn -2.020 0.637 1.962
```

**E_form (uncorrected)**: 0.6848 eV per atom
**Symmetry**: P4/mmm
**V**: 18.5 A^3/atom